# LaTmNi

A relaxed structure of LaTmNi (PBE, Alexandria).

The formation energy from the elements is -12 kJ per mole of atoms. Its distance to the lowest polymorph of the same formula is 131 meV/atom. The value obtained for the energy is -15.6 eV/f.u. As for the crystal system: cubic.

It has space group F-43m (No. 216), with a = 6.8370 Å, b = 6.8370 Å, c = 6.8370 Å, α = 90.00°, β = 90.00° and γ = 90.00°. The inequivalent atoms are La at (0.0000, 0.0000, 0.0000), Tm at (0.0000, 0.0000, 0.5000) and Ni at (0.2500, 0.2500, 0.2500).